# 1
A plane-wave DFT calculation with PBE was carried out for a geometry-optimized Sm2Er4Hg structure.

Lattice parameters (Å, degrees): 3.581 8.066 8.767 118.88 101.78 90.00
Element x y z (fractional)
Er  0.858  0.186  0.715
Er  0.142  0.814  0.285
Er  0.442  0.622  0.885
Er  0.558  0.378  0.115
Sm  0.213  0.296  0.426
Sm  0.787  0.704  0.574
Hg  0.000  0.000  0.000

Computed properties:
volume: 215.6 Å³ per cell
energy of formation from the pure elements: -5.2 kJ/mol of atoms

***

# 2
A plane-wave DFT calculation with PBE was carried out for a geometry-optimized KZrRu structure.

Lattice parameters (Å, degrees): 4.712 4.712 4.712 60.00 60.00 60.00
Element x y z (fractional)
Ru  0.250  0.250  0.250
Zr  0.000  0.000  0.000
K  0.500  0.500  0.500

Computed properties:
volume: 74.0 Å³ per cell
energy above the most stable polymorph in this dataset: 1.027 eV/atom
energy of formation from the pure elements: 98.0 kJ/mol of atoms

***

# 3
A plane-wave DFT calculation with PBE was carried out for a geometry-optimized CaPm5Dy6 structure.

Lattice parameters (Å, degrees): 6.256 8.068 8.068 84.38 97.41 97.41
Element x y z (fractional)
Pm  0.000  0.338  0.662
Pm  0.000  0.662  0.338
Pm  0.500  0.830  0.170
Pm  0.500  0.170  0.830
Pm  0.500  0.500  0.500
Dy  0.253  0.085  0.423
Dy  0.744  0.252  0.252
Dy  0.747  0.577  0.915
Dy  0.747  0.915  0.577
Dy  0.256  0.748  0.748
Dy  0.253  0.423  0.085
Ca  0.000  0.000  0.000

Computed properties:
volume: 399.1 Å³ per cell
energy of formation from the pure elements: 4.0 kJ/mol of atoms

***

# 4
A plane-wave DFT calculation with PBE was carried out for a geometry-optimized SmHo2In4 structure.

Lattice parameters (Å, degrees): 6.454 6.454 6.454 111.78 108.33 108.33
Element x y z (fractional)
Ho  0.500  0.500  0.000
Ho  0.500  0.000  0.500
Sm  0.000  0.000  0.000
In  0.000  0.000  0.500
In  0.000  0.500  0.000
In  0.500  0.000  0.000
In  0.500  0.500  0.500

Computed properties:
volume: 206.7 Å³ per cell
energy of formation from the pure elements: -30.3 kJ/mol of atoms

***

# 5
A plane-wave DFT calculation with PBE was carried out for a geometry-optimized Ti6PdAu structure.

Lattice parameters (Å, degrees): 4.118 5.687 5.687 92.62 90.00 90.00
Element x y z (fractional)
Ti  0.000  0.264  0.736
Ti  0.000  0.771  0.771
Ti  0.500  0.500  0.000
Ti  0.500  0.000  0.500
Ti  0.000  0.229  0.229
Ti  0.000  0.736  0.264
Pd  0.500  0.000  0.000
Au  0.500  0.500  0.500

Computed properties:
volume: 133.0 Å³ per cell
energy of formation from the pure elements: -21.3 kJ/mol of atoms

***

# 6
A plane-wave DFT calculation with PBE was carried out for a geometry-optimized NbVPd2 structure.

Lattice parameters (Å, degrees): 4.514 4.514 4.514 60.00 60.00 60.00
Site moments in Bohr magnetons follow the coordinates.
Element x y z (fractional)
Pd  0.250  0.250  0.250  0.13
Pd  0.750  0.750  0.750  0.13
V  0.000  0.000  0.000  2.05
Nb  0.500  0.500  0.500  0.20

Computed properties:
volume: 65.0 Å³ per cell
energy above the most stable polymorph in this dataset: 0.237 eV/atom
energy of formation from the pure elements: -0.4 kJ/mol of atoms

***

# 7
A plane-wave DFT calculation with PBE was carried out for a geometry-optimized CaAl2Sn2Au7 structure.

Lattice parameters (Å, degrees): 4.886 4.886 12.794 64.05 64.05 82.55
Element x y z (fractional)
Au  0.500  0.500  0.000
Au  0.320  0.826  0.178
Au  0.826  0.320  0.178
Au  0.818  0.818  0.497
Au  0.174  0.680  0.822
Au  0.182  0.182  0.503
Au  0.680  0.174  0.822
Ca  0.000  0.000  0.000
Sn  0.653  0.653  0.344
Sn  0.347  0.347  0.656
Al  0.770  0.770  0.725
Al  0.230  0.230  0.275

Computed properties:
volume: 246.2 Å³ per cell
energy of formation from the pure elements: -30.5 kJ/mol of atoms

***

# 8
A plane-wave DFT calculation with PBE was carried out for a geometry-optimized Tl3As2PbO8 structure.

Lattice parameters (Å, degrees): 5.976 5.976 7.773 90.00 90.00 120.00
Element x y z (fractional)
O  0.333  0.667  0.972
O  0.651  0.826  0.264
O  0.174  0.826  0.264
O  0.826  0.174  0.736
O  0.826  0.651  0.736
O  0.667  0.333  0.028
O  0.174  0.349  0.264
O  0.349  0.174  0.736
As  0.667  0.333  0.812
As  0.333  0.667  0.188
Tl  0.000  0.000  0.000
Tl  0.333  0.667  0.670
Tl  0.667  0.333  0.330
Pb  0.000  0.000  0.500

Computed properties:
volume: 240.4 Å³ per cell
formation energy from raw total energies: -1397 kJ/mol of formula units

***

# 9
A plane-wave DFT calculation with PBE was carried out for a geometry-optimized PrMgSnAu structure.

Lattice parameters (Å, degrees): 5.187 5.187 5.187 60.00 60.00 60.00
Element x y z (fractional)
Sn  0.250  0.250  0.250
Au  0.750  0.750  0.750
Pr  0.000  0.000  0.000
Mg  0.500  0.500  0.500

Computed properties:
volume: 98.7 Å³ per cell
energy of formation from the pure elements: -56.4 kJ/mol of atoms

***

# 10
A plane-wave DFT calculation with PBE was carried out for a geometry-optimized RhW2Au structure.

Lattice parameters (Å, degrees): 4.832 4.832 5.008 81.26 81.26 33.46
Element x y z (fractional)
W  0.747  0.747  0.748
W  0.997  0.997  0.015
Rh  0.257  0.257  0.234
Au  0.499  0.499  0.503

Computed properties:
volume: 63.7 Å³ per cell
energy above the most stable polymorph in this dataset: 0.066 eV/atom
energy of formation from the pure elements: 17.0 kJ/mol of atoms

***

# 11
A plane-wave DFT calculation with PBE was carried out for a geometry-optimized BaU2GeO8 structure.

Lattice parameters (Å, degrees): 5.131 5.131 7.096 89.26 89.26 84.30
Site moments in Bohr magnetons follow the coordinates.
Element x y z (fractional)
O  0.810  0.194  0.813  -0.02
O  0.806  0.190  0.187  -0.02
O  0.194  0.810  0.813  -0.02
O  0.190  0.806  0.187  -0.02
O  0.319  0.319  0.998  -0.04
O  0.661  0.661  0.511  -0.03
O  0.339  0.339  0.489  -0.03
O  0.681  0.681  0.002  -0.04
Ba  0.000  0.000  0.500  0.00
U  0.503  0.503  0.238  1.08
U  0.497  0.497  0.762  1.08
Ge  0.000  0.000  0.000  0.00

Computed properties:
volume: 185.9 Å³ per cell
formation energy from raw total energies: -3042 kJ/mol of formula units

***

# 12
A plane-wave DFT calculation with PBE was carried out for a geometry-optimized ReSn2BiN structure.

Lattice parameters (Å, degrees): 5.519 3.791 5.519 90.00 90.00 90.00
Element x y z (fractional)
Re  0.000  0.000  0.000
Bi  0.500  0.500  0.500
Sn  0.000  0.000  0.500
Sn  0.500  0.000  0.000
N  0.000  0.500  0.000

Computed properties:
volume: 115.5 Å³ per cell
formation energy from raw total energies: 158 kJ/mol of formula units

***

Number 6 is which compound? NbVPd2